Cs5AgTeO2 PBE optimized geometry; uncorrected formation energy = -969 meV/atom; density = 4.2 Mg/m³; total magnetic moment = 0.000 μB per formula unit; total energy = -3.21 eV per atom
1.0
6.053 0.000 0.000
0.000 6.053 0.000
0.000 0.000 10.023
Cs Ag Te O
5 1 1 2
direct
0.000 0.000 0.000
0.000 0.500 0.264
0.000 0.500 0.736
0.500 0.000 0.264
0.500 0.000 0.736
0.000 0.000 0.500
0.500 0.500 0.000
0.000 0.000 0.296
0.000 0.000 0.704